Run one
The following is a PBE calculation of Tl3PPd after structural relaxation, from Alexandria via LeMat-Bulk.

Unit cell a=5.283 b=5.283 c=5.283 alpha=90.00 beta=90.00 gamma=90.00
Element x y z (fractional)
Pd: 0.500 0.500 0.500
P: 0.000 0.000 0.000
Tl: 0.000 0.500 0.000
Tl: 0.000 0.000 0.500
Tl: 0.500 0.000 0.000

Computed properties:
Symmetry = No. 221
Crystal system = cubic

***

Run two
The following is a PBE calculation of Tl3PPd after structural relaxation, from Alexandria via LeMat-Bulk.

Unit cell a=5.308 b=5.308 c=5.308 alpha=90.00 beta=90.00 gamma=90.00
Last column: magnetic moment on the atom in μB.
Element x y z (fractional)
P: 0.500 0.500 0.500  0.30
Tl: 0.000 0.500 0.000  0.01
Tl: 0.000 0.000 0.500  -0.01
Tl: 0.500 0.000 0.000  0.00
Pd: 0.000 0.000 0.000  0.01

Computed properties:
Symmetry = No. 221
Crystal system = cubic

***

So which one is most stable? That would be run two, about 21.2 kJ/mol of atoms below the next structure.

***

Run one
The following is a PBE calculation of VPPd3 after structural relaxation, from Alexandria via LeMat-Bulk.

Unit cell a=4.469 b=4.469 c=4.469 alpha=90.00 beta=90.00 gamma=90.00
Last column: magnetic moment on the atom in μB.
Element x y z (fractional)
Pd: 0.000 0.500 0.000  0.02
Pd: 0.500 0.000 0.000  0.02
Pd: 0.000 0.000 0.500  0.02
V: 0.500 0.500 0.500  2.71
P: 0.000 0.000 0.000  -0.03

Computed properties:
Symmetry = No. 221
Crystal system = cubic

***

Run two
The following is a PBE calculation of VPPd3 after structural relaxation, from Alexandria via LeMat-Bulk.

Unit cell a=4.595 b=4.595 c=4.595 alpha=90.00 beta=90.00 gamma=90.00
Last column: magnetic moment on the atom in μB.
Element x y z (fractional)
P: 0.500 0.500 0.500  0.00
V: 0.000 0.000 0.000  0.99
Pd: 0.000 0.000 0.500  0.01
Pd: 0.500 0.000 0.000  0.01
Pd: 0.000 0.500 0.000  0.01

Computed properties:
Symmetry = No. 221
Crystal system = cubic

***

So which one is most stable? That would be run one, about 84.6 kJ/mol of atoms below the next structure.